Entry from Alexandria via LeMat-Bulk: a relaxed La2PmY2 crystal (PBE).

calculated volume	179	Å³/f.u.
formation energy from the elements	219	meV per atom

a = 8.866 Å, b = 9.628 Å, c = 8.839 Å
α = 90.00°, β = 108.49°, γ = 90.00°
Space group C2/c (No. 15)
One atom of each set of equivalent atoms:
La  0.000  0.000  0.000 [4 per cell]
La  0.250  0.250  0.000 [4 per cell]
Pm  0.000  0.300  0.250 [4 per cell]
Y  0.153  0.405  0.632 [8 per cell]


Entry from Alexandria via LeMat-Bulk: a relaxed La8Pm3Y crystal (PBE).

calculated volume	459	Å³/f.u.
formation energy from the elements	288	meV per atom

a = 6.835 Å, b = 11.382 Å, c = 11.798 Å
α = 90.00°, β = 90.00°, γ = 90.00°
Space group Immm (No. 71)
One atom of each set of equivalent atoms:
La  0.000  0.165  0.249 [8 per cell]
La  0.223  0.272  0.500 [8 per cell]
Pm  0.000  0.000  0.500 [2 per cell]
Pm  0.000  0.500  0.266 [4 per cell]
Y  0.000  0.000  0.000 [2 per cell]


Entry from Alexandria via LeMat-Bulk: a relaxed La2Pm7Y3 crystal (PBE).

calculated volume	417	Å³/f.u.
formation energy from the elements	84	meV per atom

a = 5.961 Å, b = 3.657 Å, c = 19.147 Å
α = 90.00°, β = 93.60°, γ = 90.00°
Space group P2/m (No. 10)
One atom of each set of equivalent atoms:
La  0.204  0.000  0.297 [2 per cell]
Pm  0.180  0.500  0.143 [2 per cell]
Pm  0.242  0.000  0.464 [2 per cell]
Pm  0.319  0.000  0.824 [2 per cell]
Pm  0.500  0.500  0.000 [1 per cell]
Y  0.000  0.000  0.000 [1 per cell]
Y  0.283  0.500  0.630 [2 per cell]


Entry from Alexandria via LeMat-Bulk: a relaxed La5Pm12Y2 crystal (PBE).

calculated volume	671	Å³/f.u.
formation energy from the elements	105	meV per atom

a = 13.200 Å, b = 11.795 Å, c = 9.588 Å
α = 90.00°, β = 115.99°, γ = 90.00°
Space group C2/m (No. 12)
One atom of each set of equivalent atoms:
La  0.000  0.000  0.000 [2 per cell]
La  0.186  0.500  0.728 [4 per cell]
La  0.193  0.000  0.826 [4 per cell]
Pm  0.076  0.500  0.290 [4 per cell]
Pm  0.105  0.278  0.919 [8 per cell]
Pm  0.119  0.000  0.443 [4 per cell]
Pm  0.194  0.249  0.309 [8 per cell]
Y  0.000  0.265  0.500 [4 per cell]


Entry from Alexandria via LeMat-Bulk: a relaxed La3Pm4Y crystal (PBE).

calculated volume	284	Å³/f.u.
formation energy from the elements	34	meV per atom

a = 11.882 Å, b = 7.438 Å, c = 6.428 Å
α = 90.00°, β = 90.00°, γ = 90.00°
Space group Pmn2_1 (No. 31)
One atom of each set of equivalent atoms:
La  0.000  0.128  0.000 [2 per cell]
La  0.249  0.875  0.832 [4 per cell]
Pm  0.000  0.376  0.499 [2 per cell]
Pm  0.000  0.623  0.997 [2 per cell]
Pm  0.248  0.624  0.331 [4 per cell]
Y  0.000  0.873  0.496 [2 per cell]


Entry from Alexandria via LeMat-Bulk: a relaxed La3Pm12Y crystal (PBE).

calculated volume	557	Å³/f.u.
formation energy from the elements	16	meV per atom

a = 5.184 Å, b = 5.184 Å, c = 20.715 Å
α = 90.00°, β = 90.00°, γ = 90.00°
Space group P4/mmm (No. 123)
One atom of each set of equivalent atoms:
La  0.000  0.000  0.000 [1 per cell]
La  0.000  0.000  0.251 [2 per cell]
Pm  0.000  0.500  0.125 [4 per cell]
Pm  0.000  0.500  0.377 [4 per cell]
Pm  0.500  0.500  0.000 [1 per cell]
Pm  0.500  0.500  0.252 [2 per cell]
Pm  0.500  0.500  0.500 [1 per cell]
Y  0.000  0.000  0.500 [1 per cell]


Entry from Alexandria via LeMat-Bulk: a relaxed La3Pm2Y3 crystal (PBE).

calculated volume	278	Å³/f.u.
formation energy from the elements	13	meV per atom

a = 24.566 Å, b = 3.692 Å, c = 6.332 Å
α = 90.00°, β = 104.76°, γ = 90.00°
Space group C2/m (No. 12)
One atom of each set of equivalent atoms:
La  0.000  0.000  0.000 [2 per cell]
La  0.125  0.000  0.460 [4 per cell]
Pm  0.248  0.000  0.246 [4 per cell]
Y  0.000  0.500  0.500 [2 per cell]
Y  0.125  0.500  0.959 [4 per cell]


Entry from Alexandria via LeMat-Bulk: a relaxed LaPm2Y3 crystal (PBE).

calculated volume	202	Å³/f.u.
formation energy from the elements	67	meV per atom

a = 9.080 Å, b = 9.989 Å, c = 9.091 Å
α = 90.00°, β = 101.48°, γ = 90.00°
Space group C2/c (No. 15)
One atom of each set of equivalent atoms:
La  0.000  0.087  0.250 [4 per cell]
Pm  0.123  0.254  0.626 [8 per cell]
Y  0.000  0.420  0.250 [4 per cell]
Y  0.249  0.084  0.999 [8 per cell]


Entry from Alexandria via LeMat-Bulk: a relaxed La5PmY2 crystal (PBE).

calculated volume	283	Å³/f.u.
formation energy from the elements	34	meV per atom

a = 3.631 Å, b = 11.440 Å, c = 13.643 Å
α = 90.00°, β = 90.00°, γ = 90.00°
Space group Immm (No. 71)
One atom of each set of equivalent atoms:
La  0.000  0.000  0.000 [2 per cell]
La  0.000  0.267  0.371 [8 per cell]
Pm  0.000  0.500  0.000 [2 per cell]
Y  0.000  0.000  0.257 [4 per cell]


Entry from Alexandria via LeMat-Bulk: a relaxed La2PmY8 crystal (PBE).

calculated volume	374	Å³/f.u.
formation energy from the elements	158	meV per atom

a = 9.121 Å, b = 16.123 Å, c = 5.971 Å
α = 90.00°, β = 121.47°, γ = 90.00°
Space group C2/m (No. 12)
One atom of each set of equivalent atoms:
La  0.000  0.196  0.000 [4 per cell]
Pm  0.000  0.500  0.500 [2 per cell]
Y  0.000  0.290  0.500 [4 per cell]
Y  0.078  0.000  0.298 [4 per cell]
Y  0.213  0.386  0.165 [8 per cell]


Entry from Alexandria via LeMat-Bulk: a relaxed La5PmY5 crystal (PBE).

calculated volume	403	Å³/f.u.
formation energy from the elements	280	meV per atom

a = 6.2425 Å, b = 6.2425 Å, c = 11.9428 Å
α = 90.00°, β = 90.00°, γ = 120.00°
Space group P-6m2 (No. 187)
One atom of each set of equivalent atoms:
La  0.0000  0.0000  0.0000 [1 per cell]
La  0.3333  0.6667  0.3155 [2 per cell]
La  0.6667  0.3333  0.1485 [2 per cell]
Pm  0.3333  0.6667  0.0000 [1 per cell]
Y  0.0000  0.0000  0.2617 [2 per cell]
Y  0.3318  0.1659  0.5000 [3 per cell]


Entry from Alexandria via LeMat-Bulk: a relaxed LaPm6Y12 crystal (PBE).

calculated volume	630	Å³/f.u.
formation energy from the elements	19	meV per atom

a = 15.7205 Å, b = 15.7205 Å, c = 8.8330 Å
α = 90.00°, β = 90.00°, γ = 120.00°
Space group R-3 (No. 148, hexagonal axes)
One atom of each set of equivalent atoms:
La  0.0000  0.0000  0.0000 [3 per cell]
Pm  0.0354  0.2804  0.3331 [18 per cell]
Y  0.0175  0.1408  0.6655 [18 per cell]
Y  0.0697  0.5610  0.6673 [18 per cell]


Entry from Alexandria via LeMat-Bulk: a relaxed La12Pm7Y crystal (PBE).

calculated volume	725	Å³/f.u.
formation energy from the elements	178	meV per atom

a = 19.7421 Å, b = 19.7421 Å, c = 6.4444 Å
α = 90.00°, β = 90.00°, γ = 120.00°
Space group R-3m (No. 166, hexagonal axes)
One atom of each set of equivalent atoms:
La  0.0000  0.4075  0.0000 [18 per cell]
La  0.0966  0.5483  0.4778 [18 per cell]
Pm  0.0000  0.0000  0.0000 [3 per cell]
Pm  0.0840  0.1680  0.3002 [18 per cell]
Y  0.0000  0.0000  0.5000 [3 per cell]


Entry from Alexandria via LeMat-Bulk: a relaxed La6PmY2 crystal (PBE).

calculated volume	318	Å³/f.u.
formation energy from the elements	178	meV per atom

a = 12.971 Å, b = 7.484 Å, c = 6.561 Å
α = 90.00°, β = 90.07°, γ = 90.00°
Space group C2/m (No. 12)
One atom of each set of equivalent atoms:
La  0.094  0.217  0.206 [8 per cell]
La  0.189  0.500  0.794 [4 per cell]
Pm  0.000  0.500  0.500 [2 per cell]
Y  0.166  0.000  0.704 [4 per cell]


Entry from Alexandria via LeMat-Bulk: a relaxed La4Pm3Y crystal (PBE).

calculated volume	286	Å³/f.u.
formation energy from the elements	32	meV per atom

a = 11.897 Å, b = 7.437 Å, c = 6.457 Å
α = 90.00°, β = 90.00°, γ = 90.00°
Space group Pmn2_1 (No. 31)
One atom of each set of equivalent atoms:
La  0.000  0.123  0.000 [2 per cell]
La  0.000  0.874  0.495 [2 per cell]
La  0.248  0.873  0.823 [4 per cell]
Pm  0.000  0.375  0.495 [2 per cell]
Pm  0.250  0.376  0.827 [4 per cell]
Y  0.000  0.621  0.995 [2 per cell]


Entry from Alexandria via LeMat-Bulk: a relaxed La2Pm5Y5 crystal (PBE).

calculated volume	408	Å³/f.u.
formation energy from the elements	19	meV per atom

a = 15.417 Å, b = 5.138 Å, c = 11.514 Å
α = 90.00°, β = 116.64°, γ = 90.00°
Space group C2/m (No. 12)
One atom of each set of equivalent atoms:
La  0.166  0.000  0.001 [4 per cell]
Pm  0.000  0.000  0.500 [2 per cell]
Pm  0.084  0.000  0.254 [4 per cell]
Pm  0.249  0.000  0.747 [4 per cell]
Y  0.000  0.500  0.000 [2 per cell]
Y  0.082  0.500  0.747 [4 per cell]
Y  0.167  0.500  0.501 [4 per cell]


Entry from Alexandria via LeMat-Bulk: a relaxed La3Pm4Y crystal (PBE).

calculated volume	285	Å³/f.u.
formation energy from the elements	190	meV per atom

a = 25.763 Å, b = 3.517 Å, c = 6.308 Å
α = 90.00°, β = 94.80°, γ = 90.00°
Space group C2/m (No. 12)
One atom of each set of equivalent atoms:
La  0.000  0.000  0.000 [2 per cell]
La  0.145  0.000  0.251 [4 per cell]
Pm  0.107  0.000  0.740 [4 per cell]
Pm  0.222  0.500  0.741 [4 per cell]
Y  0.000  0.500  0.500 [2 per cell]


Entry from Alexandria via LeMat-Bulk: a relaxed La5Pm5Y crystal (PBE).

calculated volume	390	Å³/f.u.
formation energy from the elements	268	meV per atom

a = 6.2730 Å, b = 6.2730 Å, c = 11.4505 Å
α = 90.00°, β = 90.00°, γ = 120.00°
Space group P-6m2 (No. 187)
One atom of each set of equivalent atoms:
La  0.0000  0.0000  0.2338 [2 per cell]
La  0.3433  0.1716  0.0000 [3 per cell]
Pm  0.0000  0.0000  0.5000 [1 per cell]
Pm  0.3333  0.6667  0.1837 [2 per cell]
Pm  0.6667  0.3333  0.3361 [2 per cell]
Y  0.3333  0.6667  0.5000 [1 per cell]


Entry from Alexandria via LeMat-Bulk: a relaxed LaPm6Y8 crystal (PBE).

calculated volume	509	Å³/f.u.
formation energy from the elements	124	meV per atom

a = 9.1423 Å, b = 9.1423 Å, c = 21.0849 Å
α = 90.00°, β = 90.00°, γ = 120.00°
Space group R-3 (No. 148, hexagonal axes)
One atom of each set of equivalent atoms:
La  0.0000  0.0000  0.0000 [3 per cell]
Pm  0.0590  0.2461  0.7098 [18 per cell]
Y  0.0000  0.0000  0.4228 [6 per cell]
Y  0.0803  0.5577  0.8077 [18 per cell]


Entry from Alexandria via LeMat-Bulk: a relaxed LaPm3Y7 crystal (PBE).

calculated volume	378	Å³/f.u.
formation energy from the elements	244	meV per atom

a = 5.902 Å, b = 11.229 Å, c = 11.395 Å
α = 90.00°, β = 90.00°, γ = 90.00°
Space group Immm (No. 71)
One atom of each set of equivalent atoms:
La  0.000  0.000  0.000 [2 per cell]
Pm  0.000  0.000  0.500 [2 per cell]
Pm  0.000  0.500  0.211 [4 per cell]
Y  0.000  0.210  0.307 [8 per cell]
Y  0.000  0.298  0.000 [4 per cell]
Y  0.000  0.500  0.500 [2 per cell]